(1)
Compound: KRb2SrOs
Source: the Alexandria database
Functional: GGA-PBE
Structure: relaxed Values from VASP.

## Properties
- formation energy (kJ/mol of atoms) = 170.9
- DOS(E_F) (states/eV per atom) = 1.6505

```
&SYSTEM
  ibrav = 0, nat = 5, ntyp = 4
/
ATOMIC_SPECIES
K 39.10 K.upf
Rb 85.47 Rb.upf
Sr 87.62 Sr.upf
Os 190.23 Os.upf
CELL_PARAMETERS angstrom
6.8047 0.0000 0.0000
0.0000 6.8047 0.0000
0.0000 0.0000 7.3676
ATOMIC_POSITIONS crystal
K 0.0000 0.0000 0.0000
Rb 0.0000 0.5000 0.0000
Rb 0.5000 0.0000 0.0000
Sr 0.0000 0.0000 0.5000
Os 0.5000 0.5000 0.5000
```

---

(2)
Compound: TcTe3W
Source: the Alexandria database
Functional: GGA-PBE
Structure: relaxed Values from VASP.

## Properties
- uncorrected formation energy (eV per atom) = 1.451
- DOS(E_F) (states/eV per atom) = 1.0422

```
&SYSTEM
  ibrav = 0, nat = 5, ntyp = 3
/
ATOMIC_SPECIES
Tc 98.00 Tc.upf
Te 127.60 Te.upf
W 183.84 W.upf
CELL_PARAMETERS angstrom
5.1711 0.0000 0.0000
0.0000 5.1711 0.0000
0.0000 0.0000 5.1711
ATOMIC_POSITIONS crystal
Tc 0.0000 0.0000 0.0000
Te 0.0000 0.0000 0.5000
Te 0.0000 0.5000 0.0000
Te 0.5000 0.0000 0.0000
W 0.5000 0.5000 0.5000
```

---

(3)
Compound: TaHg2Cl
Source: the Alexandria database
Functional: GGA-PBE
Structure: relaxed Values from VASP.

## Properties
- uncorrected formation energy (eV per atom) = 0.009
- DOS(E_F) (states/eV per atom) = 0.6994

```
&SYSTEM
  ibrav = 0, nat = 4, ntyp = 3
/
ATOMIC_SPECIES
Ta 180.95 Ta.upf
Hg 200.59 Hg.upf
Cl 35.45 Cl.upf
CELL_PARAMETERS angstrom
-1.5084 2.4800 7.2569
1.5084 -2.4800 7.2569
1.5084 2.4800 -7.2569
ATOMIC_POSITIONS crystal
Ta 0.0000 0.0000 0.0000
Hg 0.4620 0.4620 0.0000
Hg 0.8258 0.3258 0.5000
Cl 0.1349 0.6349 0.5000
```

---

(4)
Compound: Ce5In2Ru
Source: the Alexandria database
Functional: GGA-PBE
Structure: relaxed Values from VASP.

## Properties
- formation energy (kJ/mol of atoms) = -17.7
- DOS(E_F) (states/eV per atom) = 2.4051

```
&SYSTEM
  ibrav = 0, nat = 8, ntyp = 3
/
ATOMIC_SPECIES
Ce 140.12 Ce.upf
In 114.82 In.upf
Ru 101.07 Ru.upf
CELL_PARAMETERS angstrom
6.1595 0.0000 0.0000
3.0485 5.4709 0.0000
3.0659 1.1592 6.3556
ATOMIC_POSITIONS crystal
Ce 0.0000 0.0000 0.0000
Ce 0.1258 0.8264 0.6520
Ce 0.2672 0.5424 0.1972
Ce 0.4171 0.1708 0.7067
Ce 0.8505 0.4294 0.2560
In 0.4375 0.9783 0.1722
In 0.7534 0.5221 0.7155
Ru 0.6977 0.9810 0.4166
```

---

(5)
Compound: LiDy2MnS4
Source: the Alexandria database
Functional: GGA-PBE
Structure: relaxed Values from VASP.

## Properties
- uncorrected formation energy (eV per atom) = -1.379
- DOS(E_F) (states/eV per atom) = 0.1952

```
&SYSTEM
  ibrav = 0, nat = 8, ntyp = 4
/
ATOMIC_SPECIES
Li 6.94 Li.upf
Dy 162.50 Dy.upf
Mn 54.94 Mn.upf
S 32.06 S.upf
CELL_PARAMETERS angstrom
6.0782 0.0000 0.0000
0.0000 3.8306 0.0000
-2.3841 0.0000 6.0926
ATOMIC_POSITIONS crystal
Li 0.0000 0.0000 0.0000
Dy 0.5000 0.0000 0.5000
Dy 0.5000 0.5000 0.0000
Mn 0.0000 0.5000 0.5000
S 0.2090 0.0000 0.7275
S 0.2227 0.5000 0.2480
S 0.7773 0.5000 0.7520
S 0.7910 0.0000 0.2725
```

---

(6)
Compound: BeP2Rh
Source: the Alexandria database
Functional: GGA-PBE
Structure: relaxed Values from VASP.

## Properties
- formation energy (kJ/mol of atoms) = 13.5
- DOS(E_F) (states/eV per atom) = 0.3602

```
&SYSTEM
  ibrav = 0, nat = 4, ntyp = 3
/
ATOMIC_SPECIES
Be 9.01 Be.upf
P 30.97 P.upf
Rh 102.91 Rh.upf
CELL_PARAMETERS angstrom
3.3941 0.0000 0.0000
0.0000 3.8792 0.0000
0.0000 0.0000 3.9037
ATOMIC_POSITIONS crystal
Be 0.0000 0.0000 0.0000
P 0.5000 0.0000 0.5000
P 0.5000 0.5000 0.0000
Rh 0.0000 0.5000 0.5000
```

---

(7)
Compound: K3MoBr6Cl2
Source: the Alexandria database
Functional: GGA-PBE
Structure: relaxed Values from VASP.

## Properties
- uncorrected formation energy (eV per atom) = -1.105
- DOS(E_F) (states/eV per atom) = 0.4715

```
&SYSTEM
  ibrav = 0, nat = 12, ntyp = 4
/
ATOMIC_SPECIES
K 39.10 K.upf
Mo 95.94 Mo.upf
Br 79.90 Br.upf
Cl 35.45 Cl.upf
CELL_PARAMETERS angstrom
8.2259 -4.6969 0.0000
8.2259 4.6969 0.0000
-0.7382 0.0000 6.1155
ATOMIC_POSITIONS crystal
K 0.0000 0.0000 0.0000
K 0.0000 0.5000 0.5000
K 0.5000 0.0000 0.5000
Mo 0.5000 0.5000 0.5000
Br 0.2396 0.6174 0.2578
Br 0.3826 0.7604 0.7422
Br 0.3844 0.3844 0.7348
Br 0.6156 0.6156 0.2652
Br 0.6174 0.2396 0.2578
Br 0.7604 0.3826 0.7422
Cl 0.1661 0.1661 0.2610
Cl 0.8339 0.8339 0.7390
```

---

(8)
Compound: Pu2Si2Ge
Source: the Alexandria database
Functional: GGA-PBE
Structure: relaxed Values from VASP.

## Properties
- uncorrected formation energy (eV per atom) = -0.437
- DOS(E_F) (states/eV per atom) = 3.2935

```
&SYSTEM
  ibrav = 0, nat = 5, ntyp = 3
/
ATOMIC_SPECIES
Pu 244.00 Pu.upf
Si 28.09 Si.upf
Ge 72.64 Ge.upf
CELL_PARAMETERS angstrom
1.9953 -6.5233 0.0000
1.9953 6.5233 0.0000
0.0000 0.0000 3.8248
ATOMIC_POSITIONS crystal
Pu 0.1172 0.8828 0.0000
Pu 0.8828 0.1172 0.0000
Si 0.2986 0.7014 0.5000
Si 0.7014 0.2986 0.5000
Ge 0.5000 0.5000 0.5000
```

---

- What is the formula in the third record?
  TaHg2Cl

---

Please write out number 4 again, unchanged.
Compound: Ce5In2Ru
Source: the Alexandria database
Functional: GGA-PBE
Structure: relaxed Values from VASP.

## Properties
- formation energy (kJ/mol of atoms) = -17.7
- DOS(E_F) (states/eV per atom) = 2.4051

```
&SYSTEM
  ibrav = 0, nat = 8, ntyp = 3
/
ATOMIC_SPECIES
Ce 140.12 Ce.upf
In 114.82 In.upf
Ru 101.07 Ru.upf
CELL_PARAMETERS angstrom
6.1595 0.0000 0.0000
3.0485 5.4709 0.0000
3.0659 1.1592 6.3556
ATOMIC_POSITIONS crystal
Ce 0.0000 0.0000 0.0000
Ce 0.1258 0.8264 0.6520
Ce 0.2672 0.5424 0.1972
Ce 0.4171 0.1708 0.7067
Ce 0.8505 0.4294 0.2560
In 0.4375 0.9783 0.1722
In 0.7534 0.5221 0.7155
Ru 0.6977 0.9810 0.4166
```